1.
Crystalline NpCd2MoO8 at its relaxed geometry, computed with PBE with a Hubbard U.

Geometry as POSCAR:
```
NpCd2MoO8
1.0
-3.0418 0.4236 4.0236
0.9155 -4.8908 0.8867
5.1586 1.6416 3.7272
Np Cd Mo O
1 2 1 8
direct
0.0000 0.0000 0.0000
0.5000 0.5000 0.7401
0.5000 0.5000 0.2599
0.0000 0.0000 0.5000
0.1734 0.8253 0.2664
0.7205 0.7214 0.0000
0.8266 0.1747 0.2664
0.8266 0.1747 0.7336
0.2795 0.2786 0.0000
0.1734 0.8253 0.7336
0.7289 0.7299 0.5000
0.2711 0.2701 0.5000
```

Properties
VASP energy: -6.915 eV per atom
volume: 13.99 Å³/atom
Fermi-level density of states: 0.13 states/eV/atom

***

2.
Crystalline AcVRuO6 at its relaxed geometry, computed with PBE with a Hubbard U.

Geometry as POSCAR:
```
AcVRuO6
1.0
5.2450 -0.0357 0.0123
2.5917 4.4884 0.0242
0.0119 0.0199 5.3560
Ac V Ru O
1 1 1 6
direct
0.0020 0.9990 0.0000
0.6720 0.6640 0.5000
0.3321 0.3340 0.5000
0.9982 0.3789 0.2958
0.3743 0.0004 0.7047
0.6243 0.3832 0.7025
0.9981 0.6230 0.7042
0.3744 0.6252 0.2952
0.6243 0.9925 0.2975
```

Properties
VASP energy: -7.650 eV per atom
volume: 14.06 Å³/atom